i) {
  "formula": "Nb3Mo2W2",
  "functional": "PBE",
  "state": "optimized geometry",
  "sg": "R-3m (166)",
  "lattice_angstrom": [[2.2820, 1.3175, 6.5201], [-2.2820, 1.3175, 6.5201], [0.0000, -2.6350, 6.5201]],
  "species": ["Nb", "Nb", "Nb", "Mo", "Mo", "W", "W"],
  "fractional_positions": [[0.0000, 0.0000, 0.0000], [0.1440, 0.1440, 0.1440], [0.8560, 0.8560, 0.8560], [0.2861, 0.2861, 0.2861], [0.7139, 0.7139, 0.7139], [0.4272, 0.4272, 0.4272], [0.5728, 0.5728, 0.5728]]
}



ii) {
  "formula": "Nb3Mo2W2",
  "functional": "PBE",
  "state": "optimized geometry",
  "sg": "P-1 (2)",
  "lattice_angstrom": [[2.8115, 0.0000, 0.0000], [-0.9063, 6.9490, 0.0000], [-0.9459, -3.4484, 6.0322]],
  "species": ["Nb", "Nb", "Nb", "Mo", "Mo", "W", "W"],
  "fractional_positions": [[0.0000, 0.0000, 0.0000], [0.4284, 0.5694, 0.7163], [0.5716, 0.4306, 0.2837], [0.2872, 0.7165, 0.1467], [0.7128, 0.2835, 0.8533], [0.1467, 0.8607, 0.5683], [0.8533, 0.1393, 0.4317]]
}



Tell me which of them is the least stable. Sure, it is ii).



i) {
  "formula": "NbMoW3",
  "functional": "PBE",
  "state": "optimized geometry",
  "sg": "C2/c (15)",
  "lattice_angstrom": [[4.8965, -5.3262, 0.0000], [4.8965, 5.3262, 0.0000], [-2.8439, 0.0000, 6.6468]],
  "species": ["Nb", "Nb", "Nb", "Nb", "Mo", "Mo", "Mo", "Mo", "W", "W", "W", "W", "W", "W", "W", "W", "W", "W", "W", "W"],
  "fractional_positions": [[0.0817, 0.9183, 0.7500], [0.3503, 0.6497, 0.2500], [0.6497, 0.3503, 0.7500], [0.9183, 0.0817, 0.2500], [0.3127, 0.3900, 0.8756], [0.3900, 0.3127, 0.3756], [0.6100, 0.6873, 0.6244], [0.6873, 0.6100, 0.1244], [0.0031, 0.3641, 0.0868], [0.0243, 0.7677, 0.3542], [0.1983, 0.5561, 0.5739], [0.2323, 0.9757, 0.1458], [0.3641, 0.0031, 0.5868], [0.4439, 0.8017, 0.9261], [0.5561, 0.1983, 0.0739], [0.6359, 0.9969, 0.4132], [0.7677, 0.0243, 0.8542], [0.8017, 0.4439, 0.4261], [0.9757, 0.2323, 0.6458], [0.9969, 0.6359, 0.9132]]
}



ii) {
  "formula": "NbMoW3",
  "functional": "PBE",
  "state": "optimized geometry",
  "sg": "Pm-3m (221)",
  "lattice_angstrom": [[4.6852, 0.0000, 0.0000], [0.0000, 4.6852, 0.0000], [0.0000, 0.0000, 4.6852]],
  "species": ["Nb", "Mo", "W", "W", "W"],
  "fractional_positions": [[0.0000, 0.0000, 0.0000], [0.5000, 0.5000, 0.5000], [0.0000, 0.5000, 0.5000], [0.5000, 0.0000, 0.5000], [0.5000, 0.5000, 0.0000]]
}



iii) {
  "formula": "NbMoW3",
  "functional": "PBE",
  "state": "optimized geometry",
  "sg": "R-3 (148)",
  "lattice_angstrom": [[2.4325, 1.4044, 9.1306], [-2.4325, 1.4044, 9.1306], [0.0000, -2.8089, 9.1306]],
  "species": ["Nb", "Nb", "Mo", "Mo", "W", "W", "W", "W", "W", "W"],
  "fractional_positions": [[0.1718, 0.1718, 0.1718], [0.8282, 0.8282, 0.8282], [0.3298, 0.3298, 0.3298], [0.6702, 0.6702, 0.6702], [0.0908, 0.4040, 0.7472], [0.2528, 0.9092, 0.5960], [0.4040, 0.7472, 0.0908], [0.5960, 0.2528, 0.9092], [0.7472, 0.0908, 0.4040], [0.9092, 0.5960, 0.2528]]
}



Tell me which of them is the least stable. Sure, it is ii).



i) {
  "formula": "Nb2Mo3W",
  "functional": "PBE",
  "state": "optimized geometry",
  "sg": "Cmmm (65)",
  "lattice_angstrom": [[2.2703, -4.8250, 0.0000], [2.2703, 4.8250, 0.0000], [0.0000, 0.0000, 9.0759]],
  "species": ["Nb", "Nb", "Nb", "Nb", "Mo", "Mo", "Mo", "Mo", "Mo", "Mo", "W", "W"],
  "fractional_positions": [[0.0000, 0.0000, 0.0000], [0.0000, 0.0000, 0.5000], [0.3331, 0.6669, 0.0000], [0.6669, 0.3331, 0.0000], [0.1675, 0.8325, 0.2539], [0.1675, 0.8325, 0.7461], [0.5000, 0.5000, 0.2548], [0.5000, 0.5000, 0.7452], [0.8325, 0.1675, 0.2539], [0.8325, 0.1675, 0.7461], [0.3315, 0.6685, 0.5000], [0.6685, 0.3315, 0.5000]]
}



ii) {
  "formula": "Nb2Mo3W",
  "functional": "PBE",
  "state": "optimized geometry",
  "sg": "Cmmm (65)",
  "lattice_angstrom": [[2.2703, -6.8077, 0.0000], [2.2703, 6.8077, 0.0000], [0.0000, 0.0000, 6.4301]],
  "species": ["Nb", "Nb", "Nb", "Nb", "Mo", "Mo", "Mo", "Mo", "Mo", "Mo", "W", "W"],
  "fractional_positions": [[0.0000, 0.0000, 0.0000], [0.0000, 0.0000, 0.5000], [0.3332, 0.6668, 0.0000], [0.6668, 0.3332, 0.0000], [0.1678, 0.8322, 0.2539], [0.1678, 0.8322, 0.7461], [0.5000, 0.5000, 0.2531], [0.5000, 0.5000, 0.7469], [0.8322, 0.1678, 0.2539], [0.8322, 0.1678, 0.7461], [0.3328, 0.6672, 0.5000], [0.6672, 0.3328, 0.5000]]
}



Tell me which of them is the least stable. Sure, it is i).